Record 1
## KTl2NiPb (PBE)

Data for a relaxed structure of KTl2NiPb.

## Properties
The value obtained for the calculated total energy is -3.020 eV per atom. As for the crystal system: tetragonal. The calculation puts the mass density at 8065 kg/m³.

Geometry as CIF:
```
data_KTl2NiPb
_chemical_formula_sum 'K1 Tl2 Ni1 Pb1'
_cell_length_a 5.267
_cell_length_b 5.267
_cell_length_c 5.298
_cell_angle_alpha 90.00
_cell_angle_beta 90.00
_cell_angle_gamma 90.00
_space_group_name_H-M_alt 'P 4/m m m'
_space_group_IT_number 123
_space_group_name_Hall '-P 4 2'
loop_
_atom_site_label
_atom_site_type_symbol
_atom_site_fract_x
_atom_site_fract_y
_atom_site_fract_z
K1 K 0.000 0.000 0.000
Tl1 Tl 0.000 0.500 0.500
Ni1 Ni 0.500 0.500 0.500
Pb1 Pb 0.500 0.500 0.000
```

Record 2
## KTlNiPb2 (PBE)

Data for a relaxed structure of KTlNiPb2.

## Properties
The value obtained for the calculated total energy is -3.271 eV per atom. As for the crystal system: tetragonal. The calculation puts the mass density at 7974 kg/m³.

Geometry as CIF:
```
data_KTlNiPb2
_chemical_formula_sum 'K1 Tl1 Ni1 Pb2'
_cell_length_a 5.314
_cell_length_b 5.314
_cell_length_c 5.284
_cell_angle_alpha 90.00
_cell_angle_beta 90.00
_cell_angle_gamma 90.00
_space_group_name_H-M_alt 'P 4/m m m'
_space_group_IT_number 123
_space_group_name_Hall '-P 4 2'
loop_
_atom_site_label
_atom_site_type_symbol
_atom_site_fract_x
_atom_site_fract_y
_atom_site_fract_z
K1 K 0.000 0.000 0.000
Tl1 Tl 0.500 0.500 0.000
Ni1 Ni 0.500 0.500 0.500
Pb1 Pb 0.000 0.500 0.500
```

Record 3
## KZr2NiPb (PBE)

Data for a relaxed structure of KZr2NiPb.

## Properties
The value obtained for the calculated total energy is -4.023 eV per atom. As for the crystal system: tetragonal. The calculation puts the mass density at 4497 kg/m³.

Geometry as CIF:
```
data_KZr2NiPb
_chemical_formula_sum 'K1 Zr2 Ni1 Pb1'
_cell_length_a 5.483
_cell_length_b 5.483
_cell_length_c 5.988
_cell_angle_alpha 90.00
_cell_angle_beta 90.00
_cell_angle_gamma 90.00
_space_group_name_H-M_alt 'P 4/m m m'
_space_group_IT_number 123
_space_group_name_Hall '-P 4 2'
loop_
_atom_site_label
_atom_site_type_symbol
_atom_site_fract_x
_atom_site_fract_y
_atom_site_fract_z
K1 K 0.000 0.000 0.000
Zr1 Zr 0.000 0.500 0.500
Ni1 Ni 0.500 0.500 0.000
Pb1 Pb 0.000 0.000 0.500
```

Record 4
## KNi3Pd (PBE)

Data for a relaxed structure of KNi3Pd.

## Properties
The value obtained for the calculated total energy is -2.709 eV per atom. As for the crystal system: cubic. As for the distance to the lowest polymorph of the same formula: 1073 meV/atom. The calculation puts the mass density at 6325 kg/m³.

Geometry as CIF:
```
data_KNi3Pd
_chemical_formula_sum 'K1 Ni3 Pd1'
_cell_length_a 4.387
_cell_length_b 4.387
_cell_length_c 4.387
_cell_angle_alpha 90.00
_cell_angle_beta 90.00
_cell_angle_gamma 90.00
_space_group_name_H-M_alt 'P m -3 m'
_space_group_IT_number 221
_space_group_name_Hall '-P 4 2 3'
loop_
_atom_site_label
_atom_site_type_symbol
_atom_site_fract_x
_atom_site_fract_y
_atom_site_fract_z
K1 K 0.000 0.000 0.000
Ni1 Ni 0.000 0.000 0.500
Pd1 Pd 0.500 0.500 0.500
```

The records above give, respectively, M_tot values of 0.0; 0.0; 0.0; 0.3 μB/f.u..
The records above give, respectively, N(E_F) values of 0.80; 0.97; 2.26; 1.21 states/eV/atom.
The records above give, respectively, DFT formation energy values of 0.044; 0.061; 1.514; 2.018 eV/atom.